An optimized crystal structure of Er3Pt2Au, computed with PBE.

Structure (CIF):
```
data_Er3Pt2Au
_symmetry_space_group_name_H-M 'C m m m'
_symmetry_Int_Tables_number 65
_symmetry_space_group_name_Hall '-C 2 2'
_cell_length_a 4.9618
_cell_length_b 14.7753
_cell_length_c 3.5041
_cell_angle_alpha 90.00
_cell_angle_beta 90.00
_cell_angle_gamma 90.00
loop_
_atom_site_label
_atom_site_type_symbol
_atom_site_fract_x
_atom_site_fract_y
_atom_site_fract_z
Er1 Er 0.0000 0.0000 0.0000
Er2 Er 0.0000 0.3290 0.0000
Pt1 Pt 0.0000 0.1654 0.5000
Au1 Au 0.0000 0.5000 0.5000
```

Energy relative to the elements = -1131 meV/atom

=====

An optimized crystal structure of Th6P2OsSe3, computed with PBE.

Structure (CIF):
```
data_Th6P2OsSe3
_symmetry_space_group_name_H-M 'C 1 2/m 1'
_symmetry_Int_Tables_number 12
_symmetry_space_group_name_Hall '-C 2y'
_cell_length_a 18.4524
_cell_length_b 4.1177
_cell_length_c 8.5638
_cell_angle_alpha 90.00
_cell_angle_beta 104.35
_cell_angle_gamma 90.00
loop_
_atom_site_label
_atom_site_type_symbol
_atom_site_fract_x
_atom_site_fract_y
_atom_site_fract_z
Th1 Th 0.0035 0.0000 0.2286
Th2 Th 0.1616 0.5000 0.0959
Th3 Th 0.1717 0.5000 0.5716
P1 P 0.1668 0.0000 0.3353
Os1 Os 0.0000 0.5000 0.0000
Se1 Se 0.0000 0.5000 0.5000
Se2 Se 0.1682 0.0000 0.8331
```

Formation energy (no corrections) = -16.64 eV/f.u.

=====

An optimized crystal structure of CsHRh3, computed with PBE.

Structure (CIF):
```
data_CsHRh3
_symmetry_space_group_name_H-M 'P m -3 m'
_symmetry_Int_Tables_number 221
_symmetry_space_group_name_Hall '-P 4 2 3'
_cell_length_a 5.0387
_cell_length_b 5.0387
_cell_length_c 5.0387
_cell_angle_alpha 90.00
_cell_angle_beta 90.00
_cell_angle_gamma 90.00
loop_
_atom_site_label
_atom_site_type_symbol
_atom_site_fract_x
_atom_site_fract_y
_atom_site_fract_z
Cs1 Cs 0.0000 0.0000 0.0000
H1 H 0.5000 0.5000 0.5000
Rh1 Rh 0.0000 0.0000 0.5000
```

=====

An optimized crystal structure of BaIn, computed with PBE.

Structure (CIF):
```
data_BaIn
_symmetry_space_group_name_H-M 'C 1 m 1'
_symmetry_Int_Tables_number 8
_symmetry_space_group_name_Hall 'C -2y'
_cell_length_a 13.8716
_cell_length_b 4.4048
_cell_length_c 8.1919
_cell_angle_alpha 90.00
_cell_angle_beta 111.90
_cell_angle_gamma 90.00
loop_
_atom_site_label
_atom_site_type_symbol
_atom_site_fract_x
_atom_site_fract_y
_atom_site_fract_z
Ba1 Ba 0.0000 0.0000 0.0000
Ba2 Ba 0.0019 0.0000 0.5410
Ba3 Ba 0.2154 0.5000 0.3769
In1 In 0.1972 0.5000 0.8996
In2 In 0.2967 0.0000 0.7391
In3 In 0.3432 0.0000 0.1537
```

Energy relative to the elements = -324 meV/atom

=====

An optimized crystal structure of Nd12Sm7Sc, computed with PBE.

Structure (CIF):
```
data_Nd12Sm7Sc
_symmetry_space_group_name_H-M 'R -3 m'
_symmetry_Int_Tables_number 166
_symmetry_space_group_name_Hall '-R 3 2"'
_cell_length_a 19.6631
_cell_length_b 19.6631
_cell_length_c 6.2821
_cell_angle_alpha 90.00
_cell_angle_beta 90.00
_cell_angle_gamma 120.00
loop_
_atom_site_label
_atom_site_type_symbol
_atom_site_fract_x
_atom_site_fract_y
_atom_site_fract_z
Nd1 Nd 0.0000 0.4117 0.0000
Nd2 Nd 0.0972 0.5486 0.4702
Sm1 Sm 0.0000 0.0000 0.0000
Sm2 Sm 0.0815 0.1630 0.2993
Sc1 Sc 0.0000 0.0000 0.5000
```

Energy relative to the elements = 197 meV/atom

=====

An optimized crystal structure of YAg2Se, computed with PBE.

Structure (CIF):
```
data_YAg2Se
_symmetry_space_group_name_H-M 'P 1 m 1'
_symmetry_Int_Tables_number 6
_symmetry_space_group_name_Hall 'P -2y'
_cell_length_a 3.8011
_cell_length_b 3.7578
_cell_length_c 6.6053
_cell_angle_alpha 90.00
_cell_angle_beta 106.61
_cell_angle_gamma 90.00
loop_
_atom_site_label
_atom_site_type_symbol
_atom_site_fract_x
_atom_site_fract_y
_atom_site_fract_z
Y1 Y 0.0000 0.0000 0.0000
Ag1 Ag 0.3420 0.5000 0.6809
Ag2 Ag 0.7648 0.0000 0.5254
Se1 Se 0.5796 0.5000 0.1601
```

Formation energy (no corrections) = -2.64 eV/f.u.

=====

An optimized crystal structure of NaReW, computed with PBE.

Structure (CIF):
```
data_NaReW
_symmetry_space_group_name_H-M 'P 4 m m'
_symmetry_Int_Tables_number 99
_symmetry_space_group_name_Hall 'P 4 -2'
_cell_length_a 3.1059
_cell_length_b 3.1059
_cell_length_c 12.5915
_cell_angle_alpha 90.00
_cell_angle_beta 90.00
_cell_angle_gamma 90.00
loop_
_atom_site_label
_atom_site_type_symbol
_atom_site_fract_x
_atom_site_fract_y
_atom_site_fract_z
Na1 Na 0.0000 0.0000 0.0000
Na2 Na 0.5000 0.5000 0.2526
Re1 Re 0.0000 0.0000 0.7018
Re2 Re 0.5000 0.5000 0.8136
W1 W 0.0000 0.0000 0.4503
W2 W 0.5000 0.5000 0.5660
```

Energy relative to the elements = 543 meV/atom

=====

An optimized crystal structure of HfSc2Ga5, computed with PBE.

Structure (CIF):
```
data_HfSc2Ga5
_symmetry_space_group_name_H-M 'I 4 m m'
_symmetry_Int_Tables_number 107
_symmetry_space_group_name_Hall 'I 4 -2'
_cell_length_a 6.3585
_cell_length_b 6.3585
_cell_length_c 7.2145
_cell_angle_alpha 90.00
_cell_angle_beta 90.00
_cell_angle_gamma 90.00
loop_
_atom_site_label
_atom_site_type_symbol
_atom_site_fract_x
_atom_site_fract_y
_atom_site_fract_z
Hf1 Hf 0.0000 0.0000 0.0000
Sc1 Sc 0.0000 0.5000 0.4020
Ga1 Ga 0.0000 0.0000 0.3809
Ga2 Ga 0.2102 0.2102 0.6624
```

Energy relative to the elements = -509 meV/atom

=====

An optimized crystal structure of RbAgI2Cl, computed with PBE.

Structure (CIF):
```
data_RbAgI2Cl
_symmetry_space_group_name_H-M 'P 4/m m m'
_symmetry_Int_Tables_number 123
_symmetry_space_group_name_Hall '-P 4 2'
_cell_length_a 5.7997
_cell_length_b 5.7997
_cell_length_c 5.2661
_cell_angle_alpha 90.00
_cell_angle_beta 90.00
_cell_angle_gamma 90.00
loop_
_atom_site_label
_atom_site_type_symbol
_atom_site_fract_x
_atom_site_fract_y
_atom_site_fract_z
Rb1 Rb 0.0000 0.0000 0.0000
Ag1 Ag 0.5000 0.5000 0.5000
I1 I 0.0000 0.5000 0.5000
Cl1 Cl 0.5000 0.5000 0.0000
```

Formation energy (no corrections) = -3.84 eV/f.u.

=====

An optimized crystal structure of ZnCrW2, computed with PBE.

Structure (CIF):
```
data_ZnCrW2
_symmetry_space_group_name_H-M 'C m m m'
_symmetry_Int_Tables_number 65
_symmetry_space_group_name_Hall '-C 2 2'
_cell_length_a 3.1294
_cell_length_b 4.3398
_cell_length_c 8.6690
_cell_angle_alpha 90.00
_cell_angle_beta 90.00
_cell_angle_gamma 90.00
loop_
_atom_site_label
_atom_site_type_symbol
_atom_site_fract_x
_atom_site_fract_y
_atom_site_fract_z
Zn1 Zn 0.0000 0.0000 0.0000
Cr1 Cr 0.0000 0.0000 0.5000
W1 W 0.0000 0.5000 0.2603
```

Energy relative to the elements = 203 meV/atom

=====

An optimized crystal structure of ZnCu2Si, computed with PBE.

Structure (CIF):
```
data_ZnCu2Si
_symmetry_space_group_name_H-M 'R 3 m'
_symmetry_Int_Tables_number 160
_symmetry_space_group_name_Hall 'R 3 -2"'
_cell_length_a 2.7153
_cell_length_b 2.7153
_cell_length_c 24.3608
_cell_angle_alpha 90.00
_cell_angle_beta 90.00
_cell_angle_gamma 120.00
loop_
_atom_site_label
_atom_site_type_symbol
_atom_site_fract_x
_atom_site_fract_y
_atom_site_fract_z
Zn1 Zn 0.0000 0.0000 0.0000
Cu1 Cu 0.0000 0.0000 0.2470
Cu2 Cu 0.0000 0.0000 0.4198
Si1 Si 0.0000 0.0000 0.8335
```

Formation energy (no corrections) = 0.02 eV/f.u.

=====

An optimized crystal structure of CsAs2S2, computed with PBE.

Structure (CIF):
```
data_CsAs2S2
_symmetry_space_group_name_H-M 'C 1 2/c 1'
_symmetry_Int_Tables_number 15
_symmetry_space_group_name_Hall '-C 2yc'
_cell_length_a 5.2881
_cell_length_b 14.7663
_cell_length_c 9.3178
_cell_angle_alpha 90.00
_cell_angle_beta 106.37
_cell_angle_gamma 90.00
loop_
_atom_site_label
_atom_site_type_symbol
_atom_site_fract_x
_atom_site_fract_y
_atom_site_fract_z
Cs1 Cs 0.0000 0.1248 0.2500
As1 As 0.1742 0.3748 0.0980
S1 S 0.0000 0.2095 0.7500
S2 S 0.0000 0.4593 0.2500
```

Formation energy (no corrections) = -1.43 eV/f.u.

=====

| no. | energy (eV/atom) | volume (Å³ per cell) |
| --- | --- | --- |
| 1 | -5.973 | 256.9 |
| 2 | -7.805 | 630.4 |
| 3 | -2.662 | 127.9 |
| 4 | -2.654 | 464.4 |
| 5 | -4.632 | 2103.5 |
| 6 | -4.573 | 90.4 |
| 7 | -8.364 | 121.5 |
| 8 | -5.228 | 291.7 |
| 9 | -2.522 | 177.1 |
| 10 | -8.998 | 117.7 |
| 11 | -3.718 | 155.5 |
| 12 | -3.968 | 698.1 |